[1]
# PIrPt2 | Alexandria via LeMat-Bulk | PBE | optimized geometry
data_PIrPt2
_chemical_formula_sum 'P1 Ir1 Pt2'
_cell_length_a 4.4012
_cell_length_b 4.4012
_cell_length_c 3.2867
_cell_angle_alpha 90.00
_cell_angle_beta 90.00
_cell_angle_gamma 107.67
_space_group_name_H-M_alt 'P 1'
_space_group_IT_number 1
loop_
_space_group_symop_operation_xyz
'x,y,z'
loop_
_atom_site_label
_atom_site_type_symbol
_atom_site_fract_x
_atom_site_fract_y
_atom_site_fract_z
Ir1 Ir 0.5000 0.0000 0.5000
P1 P 0.0000 0.5000 0.5000
Pt1 Pt 0.0000 0.0000 0.0000
Pt2 Pt 0.5000 0.5000 0.0000
# Space group   No. 65
# Formation enthalpy at 0 K   0.12 eV per atom
# Total energy   -25.9 eV for the cell shown
# M_tot   0.00 μB/f.u.



[2]
# RbPIr2Pt | Alexandria via LeMat-Bulk | PBE | optimized geometry
data_RbPIr2Pt
_chemical_formula_sum 'Rb1 P1 Ir2 Pt1'
_cell_length_a 4.7933
_cell_length_b 4.9557
_cell_length_c 4.7933
_cell_angle_alpha 90.00
_cell_angle_beta 90.00
_cell_angle_gamma 90.00
_space_group_name_H-M_alt 'P 1'
_space_group_IT_number 1
loop_
_space_group_symop_operation_xyz
'x,y,z'
loop_
_atom_site_label
_atom_site_type_symbol
_atom_site_fract_x
_atom_site_fract_y
_atom_site_fract_z
P1 P 0.0000 0.5000 0.0000
Ir1 Ir 0.0000 0.0000 0.5000
Ir2 Ir 0.5000 0.0000 0.0000
Rb1 Rb 0.0000 0.0000 0.0000
Pt1 Pt 0.5000 0.5000 0.5000
# Space group   No. 123
# Formation enthalpy at 0 K   3.23 eV per atom
# Total energy   -14.0 eV for the cell shown
# M_tot   1.11 μB/f.u.



[3]
# RbPIrPt | Alexandria via LeMat-Bulk | PBE | optimized geometry
data_RbPIrPt
_chemical_formula_sum 'Rb2 P2 Ir2 Pt2'
_cell_length_a 3.8724
_cell_length_b 3.8724
_cell_length_c 12.8598
_cell_angle_alpha 90.00
_cell_angle_beta 90.00
_cell_angle_gamma 90.00
_space_group_name_H-M_alt 'P 1'
_space_group_IT_number 1
loop_
_space_group_symop_operation_xyz
'x,y,z'
loop_
_atom_site_label
_atom_site_type_symbol
_atom_site_fract_x
_atom_site_fract_y
_atom_site_fract_z
Rb1 Rb 0.7500 0.7500 0.2791
Rb2 Rb 0.2500 0.2500 0.7209
P1 P 0.7500 0.7500 0.8972
P2 P 0.2500 0.2500 0.1028
Ir1 Ir 0.7500 0.2500 0.0000
Ir2 Ir 0.2500 0.7500 0.0000
Pt1 Pt 0.2500 0.7500 0.5000
Pt2 Pt 0.7500 0.2500 0.5000
# Space group   No. 129
# Formation enthalpy at 0 K   -0.33 eV per atom
# Total energy   -45.2 eV for the cell shown
# M_tot   0.00 μB/f.u.



[4]
# RePIr2Pt | Alexandria via LeMat-Bulk | PBE | optimized geometry
data_RePIr2Pt
_chemical_formula_sum 'Re1 P1 Ir2 Pt1'
_cell_length_a 4.7209
_cell_length_b 4.8246
_cell_length_c 4.7209
_cell_angle_alpha 90.00
_cell_angle_beta 90.00
_cell_angle_gamma 90.00
_space_group_name_H-M_alt 'P 1'
_space_group_IT_number 1
loop_
_space_group_symop_operation_xyz
'x,y,z'
loop_
_atom_site_label
_atom_site_type_symbol
_atom_site_fract_x
_atom_site_fract_y
_atom_site_fract_z
Re1 Re 0.0000 0.0000 0.0000
Ir1 Ir 0.0000 0.0000 0.5000
Ir2 Ir 0.5000 0.0000 0.0000
Pt1 Pt 0.0000 0.5000 0.0000
P1 P 0.5000 0.5000 0.5000
# Space group   No. 123
# Formation enthalpy at 0 K   1.83 eV per atom
# Total energy   -32.5 eV for the cell shown
# M_tot   0.00 μB/f.u.



[5]
# RePIrPt | Alexandria via LeMat-Bulk | PBE | optimized geometry
data_RePIrPt
_chemical_formula_sum 'Re2 P2 Ir2 Pt2'
_cell_length_a 4.5798
_cell_length_b 3.6936
_cell_length_c 8.3308
_cell_angle_alpha 90.00
_cell_angle_beta 122.73
_cell_angle_gamma 90.00
_space_group_name_H-M_alt 'P 1'
_space_group_IT_number 1
loop_
_space_group_symop_operation_xyz
'x,y,z'
loop_
_atom_site_label
_atom_site_type_symbol
_atom_site_fract_x
_atom_site_fract_y
_atom_site_fract_z
Re1 Re 0.9774 0.0000 0.9594
Re2 Re 0.9774 0.5000 0.4594
P1 P 0.0348 0.0000 0.6640
P2 P 0.0348 0.5000 0.1640
Ir1 Ir 0.3724 0.0000 0.3613
Ir2 Ir 0.3724 0.5000 0.8613
Pt1 Pt 0.6552 0.0000 0.1560
Pt2 Pt 0.6552 0.5000 0.6560
# Space group   No. 8
# Formation enthalpy at 0 K   0.01 eV per atom
# Energy relative to the lowest polymorph listed for this composition   4.70 kcal/mol of atoms
# Total energy   -65.4 eV for the cell shown
# M_tot   0.00 μB/f.u.



[6]
# RePIrPt | Alexandria via LeMat-Bulk | PBE | optimized geometry
data_RePIrPt
_chemical_formula_sum 'Re1 P1 Ir1 Pt1'
_cell_length_a 3.7532
_cell_length_b 4.4899
_cell_length_c 4.6406
_cell_angle_alpha 118.44
_cell_angle_beta 89.82
_cell_angle_gamma 114.89
_space_group_name_H-M_alt 'P 1'
_space_group_IT_number 1
loop_
_space_group_symop_operation_xyz
'x,y,z'
loop_
_atom_site_label
_atom_site_type_symbol
_atom_site_fract_x
_atom_site_fract_y
_atom_site_fract_z
Re1 Re 0.2432 0.2076 0.9990
P1 P 0.9240 0.5704 0.9540
Ir1 Ir 0.4387 0.5990 0.6520
Pt1 Pt 0.6438 0.0151 0.3552
# Space group   No. 1
# Formation enthalpy at 0 K   -0.02 eV per atom
# Energy relative to the lowest polymorph listed for this composition   4.01 kcal/mol of atoms
# Total energy   -32.8 eV for the cell shown
# M_tot   0.00 μB/f.u.



[7]
# RePIrPt | Alexandria via LeMat-Bulk | PBE | optimized geometry
data_RePIrPt
_chemical_formula_sum 'Re1 P1 Ir1 Pt1'
_cell_length_a 4.3117
_cell_length_b 3.2532
_cell_length_c 4.3835
_cell_angle_alpha 90.00
_cell_angle_beta 105.70
_cell_angle_gamma 90.00
_space_group_name_H-M_alt 'P 1'
_space_group_IT_number 1
loop_
_space_group_symop_operation_xyz
'x,y,z'
loop_
_atom_site_label
_atom_site_type_symbol
_atom_site_fract_x
_atom_site_fract_y
_atom_site_fract_z
Re1 Re 0.8498 0.0000 0.3405
P1 P 0.2596 0.5000 0.3486
Ir1 Ir 0.2399 0.0000 0.9552
Pt1 Pt 0.6907 0.5000 0.7877
# Space group   No. 6
# Formation enthalpy at 0 K   -0.12 eV per atom
# Energy relative to the lowest polymorph listed for this composition   1.71 kcal/mol of atoms
# Total energy   -33.2 eV for the cell shown
# M_tot   0.00 μB/f.u.



[8]
# RePIrPt | Alexandria via LeMat-Bulk | PBE | optimized geometry
data_RePIrPt
_chemical_formula_sum 'Re2 P2 Ir2 Pt2'
_cell_length_a 3.9432
_cell_length_b 2.9046
_cell_length_c 10.3432
_cell_angle_alpha 90.00
_cell_angle_beta 95.72
_cell_angle_gamma 90.00
_space_group_name_H-M_alt 'P 1'
_space_group_IT_number 1
loop_
_space_group_symop_operation_xyz
'x,y,z'
loop_
_atom_site_label
_atom_site_type_symbol
_atom_site_fract_x
_atom_site_fract_y
_atom_site_fract_z
Re1 Re 0.8341 0.0000 0.0169
Re2 Re 0.8341 0.5000 0.5169
P1 P 0.4329 0.0000 0.4101
P2 P 0.4329 0.5000 0.9101
Ir1 Ir 0.9251 0.0000 0.2869
Ir2 Ir 0.9251 0.5000 0.7869
Pt1 Pt 0.3759 0.0000 0.6468
Pt2 Pt 0.3759 0.5000 0.1468
# Space group   No. 8
# Formation enthalpy at 0 K   -0.08 eV per atom
# Energy relative to the lowest polymorph listed for this composition   2.43 kcal/mol of atoms
# Total energy   -66.2 eV for the cell shown
# M_tot   0.00 μB/f.u.



[9]
# RePIrPt | Alexandria via LeMat-Bulk | PBE | optimized geometry
data_RePIrPt
_chemical_formula_sum 'Re2 P2 Ir2 Pt2'
_cell_length_a 5.2221
_cell_length_b 2.8799
_cell_length_c 8.8418
_cell_angle_alpha 90.00
_cell_angle_beta 110.21
_cell_angle_gamma 90.00
_space_group_name_H-M_alt 'P 1'
_space_group_IT_number 1
loop_
_space_group_symop_operation_xyz
'x,y,z'
loop_
_atom_site_label
_atom_site_type_symbol
_atom_site_fract_x
_atom_site_fract_y
_atom_site_fract_z
Re1 Re 0.2181 0.0000 0.1548
Re2 Re 0.2181 0.5000 0.6548
P1 P 0.5907 0.0000 0.6803
P2 P 0.5907 0.5000 0.1803
Ir1 Ir 0.0297 0.0000 0.8473
Ir2 Ir 0.0297 0.5000 0.3473
Pt1 Pt 0.5935 0.0000 0.9600
Pt2 Pt 0.5935 0.5000 0.4600
# Space group   No. 8
# Formation enthalpy at 0 K   0.00 eV per atom
# Energy relative to the lowest polymorph listed for this composition   4.27 kcal/mol of atoms
# Total energy   -65.6 eV for the cell shown
# M_tot   0.00 μB/f.u.



[10]
# RePIrPt | Alexandria via LeMat-Bulk | PBE | optimized geometry
data_RePIrPt
_chemical_formula_sum 'Re2 P2 Ir2 Pt2'
_cell_length_a 2.8526
_cell_length_b 4.3423
_cell_length_c 9.7874
_cell_angle_alpha 90.00
_cell_angle_beta 105.14
_cell_angle_gamma 90.00
_space_group_name_H-M_alt 'P 1'
_space_group_IT_number 1
loop_
_space_group_symop_operation_xyz
'x,y,z'
loop_
_atom_site_label
_atom_site_type_symbol
_atom_site_fract_x
_atom_site_fract_y
_atom_site_fract_z
Re1 Re 0.9639 0.0000 0.1024
Re2 Re 0.9639 0.5000 0.6024
P1 P 0.6496 0.0000 0.3000
P2 P 0.6496 0.5000 0.8000
Ir1 Ir 0.3515 0.0000 0.5046
Ir2 Ir 0.3515 0.5000 0.0046
Pt1 Pt 0.2846 0.0000 0.8090
Pt2 Pt 0.2846 0.5000 0.3090
# Space group   No. 8
# Formation enthalpy at 0 K   -0.05 eV per atom
# Energy relative to the lowest polymorph listed for this composition   3.26 kcal/mol of atoms
# Total energy   -65.9 eV for the cell shown
# M_tot   0.00 μB/f.u.



[11]
# RePIrPt | Alexandria via LeMat-Bulk | PBE | optimized geometry
data_RePIrPt
_chemical_formula_sum 'Re2 P2 Ir2 Pt2'
_cell_length_a 4.6511
_cell_length_b 2.7930
_cell_length_c 10.1771
_cell_angle_alpha 90.00
_cell_angle_beta 116.01
_cell_angle_gamma 90.00
_space_group_name_H-M_alt 'P 1'
_space_group_IT_number 1
loop_
_space_group_symop_operation_xyz
'x,y,z'
loop_
_atom_site_label
_atom_site_type_symbol
_atom_site_fract_x
_atom_site_fract_y
_atom_site_fract_z
Re1 Re 0.8455 0.0000 0.7849
Re2 Re 0.8455 0.5000 0.2849
P1 P 0.3561 0.0000 0.5746
P2 P 0.3561 0.5000 0.0746
Ir1 Ir 0.9581 0.0000 0.0715
Ir2 Ir 0.9581 0.5000 0.5715
Pt1 Pt 0.4082 0.0000 0.3593
Pt2 Pt 0.4082 0.5000 0.8593
# Space group   No. 8
# Formation enthalpy at 0 K   -0.11 eV per atom
# Energy relative to the lowest polymorph listed for this composition   1.82 kcal/mol of atoms
# Total energy   -66.4 eV for the cell shown
# M_tot   0.00 μB/f.u.



[12]
# RePIrPt | Alexandria via LeMat-Bulk | PBE | optimized geometry
data_RePIrPt
_chemical_formula_sum 'Re1 P1 Ir1 Pt1'
_cell_length_a 2.7743
_cell_length_b 4.1543
_cell_length_c 5.4359
_cell_angle_alpha 102.87
_cell_angle_beta 95.85
_cell_angle_gamma 91.86
_space_group_name_H-M_alt 'P 1'
_space_group_IT_number 1
loop_
_space_group_symop_operation_xyz
'x,y,z'
loop_
_atom_site_label
_atom_site_type_symbol
_atom_site_fract_x
_atom_site_fract_y
_atom_site_fract_z
Re1 Re 0.0781 0.9829 0.2428
P1 P 0.9686 0.1044 0.6801
Ir1 Ir 0.5492 0.3919 0.9998
Pt1 Pt 0.6537 0.5606 0.5094
# Space group   No. 1
# Formation enthalpy at 0 K   -0.03 eV per atom
# Energy relative to the lowest polymorph listed for this composition   3.74 kcal/mol of atoms
# Total energy   -32.9 eV for the cell shown
# M_tot   0.00 μB/f.u.